First-principles (GGA-PBE) data for an optimized crystal structure of Zr3CuS6, as listed in Alexandria via LeMat-Bulk.

Structure (CIF):
```
data_Zr3CuS6
_space_group_name_H-M_alt 'R -3'
_space_group_IT_number 148
_space_group_name_Hall '-R 3'
_cell_length_a 10.5244
_cell_length_b 10.5244
_cell_length_c 13.0018
_cell_angle_alpha 90.00
_cell_angle_beta 90.00
_cell_angle_gamma 120.00
loop_
_atom_site_label
_atom_site_fract_x
_atom_site_fract_y
_atom_site_fract_z
Zr1 0.0497 0.6029 0.3711
Cu1 0.0000 0.0000 0.0000
Cu2 0.0000 0.0000 0.5000
S1 0.0072 0.8082 0.8911
S2 0.0327 0.8409 0.3751
```

electronic total energy	-0.245	hartree per atom


First-principles (GGA-PBE) data for an optimized crystal structure of Sr3Ge5Au6, as listed in Alexandria via LeMat-Bulk.

Structure (CIF):
```
data_Sr3Ge5Au6
_space_group_name_H-M_alt 'P m m n'
_space_group_IT_number 59
_cell_length_a 4.516
_cell_length_b 13.565
_cell_length_c 10.090
_cell_angle_alpha 90.00
_cell_angle_beta 90.00
_cell_angle_gamma 90.00
loop_
_space_group_symop_operation_xyz
'x,y,z'
'-x,-y,-z'
'-x+1/2,-y+1/2,z'
'x+1/2,y+1/2,-z'
'x+1/2,-y,-z'
'-x+1/2,y,z'
'-x,y+1/2,-z'
'x,-y+1/2,z'
loop_
_atom_site_label
_atom_site_fract_x
_atom_site_fract_y
_atom_site_fract_z
Sr1 0.250 0.071 0.246
Sr2 0.250 0.750 0.254
Ge1 0.250 0.078 0.874
Ge2 0.250 0.632 0.541
Ge3 0.250 0.750 0.810
Au1 0.250 0.065 0.609
Au2 0.250 0.250 0.016
Au3 0.250 0.250 0.478
Au4 0.250 0.601 0.996
```

formation energy	-0.471	eV/atom
electronic total energy	-0.143	hartree per atom


First-principles (GGA-PBE) data for an optimized crystal structure of Pr4Nd5Sm3, as listed in Alexandria via LeMat-Bulk.

Structure (CIF):
```
data_Pr4Nd5Sm3
_space_group_name_H-M_alt 'P -1'
_space_group_IT_number 2
_cell_length_a 6.378
_cell_length_b 7.352
_cell_length_c 9.022
_cell_angle_alpha 90.04
_cell_angle_beta 90.05
_cell_angle_gamma 90.05
loop_
_space_group_symop_operation_xyz
'x,y,z'
'-x,-y,-z'
loop_
_atom_site_label
_atom_site_fract_x
_atom_site_fract_y
_atom_site_fract_z
Pr1 0.166 0.000 0.167
Pr2 0.334 0.251 0.833
Nd1 0.001 0.749 0.500
Nd2 0.167 0.500 0.167
Nd3 0.500 0.000 0.500
Sm1 0.333 0.749 0.833
Sm2 0.500 0.500 0.500
```

formation energy	0.012	eV/atom
electronic total energy	-0.174	hartree per atom


First-principles (GGA-PBE) data for an optimized crystal structure of AgSn2Pd5, as listed in Alexandria via LeMat-Bulk.

Structure (CIF):
```
data_AgSn2Pd5
_space_group_name_H-M_alt 'C m c m'
_space_group_IT_number 63
_space_group_name_Hall '-C 2c 2'
_cell_length_a 2.957
_cell_length_b 17.804
_cell_length_c 11.352
_cell_angle_alpha 90.00
_cell_angle_beta 90.00
_cell_angle_gamma 90.00
loop_
_atom_site_label
_atom_site_fract_x
_atom_site_fract_y
_atom_site_fract_z
Ag1 0.000 0.136 0.250
Sn1 0.000 0.127 0.505
Pd1 0.000 0.002 0.128
Pd2 0.000 0.133 0.750
Pd3 0.000 0.264 0.113
```

formation energy	-0.125	eV/atom
electronic total energy	-0.174	hartree per atom


First-principles (GGA-PBE) data for an optimized crystal structure of Y2BrCl, as listed in Alexandria via LeMat-Bulk.

Structure (CIF):
```
data_Y2BrCl
_space_group_name_H-M_alt 'I -4 2 d'
_space_group_IT_number 122
_space_group_name_Hall 'I -4 2bw'
_cell_length_a 6.382
_cell_length_b 6.382
_cell_length_c 12.798
_cell_angle_alpha 90.00
_cell_angle_beta 90.00
_cell_angle_gamma 90.00
loop_
_atom_site_label
_atom_site_fract_x
_atom_site_fract_y
_atom_site_fract_z
Y1 0.222 0.250 0.125
Br1 0.000 0.000 0.500
Cl1 0.000 0.000 0.000
```

electronic total energy	-0.178	hartree per atom


First-principles (GGA-PBE) data for an optimized crystal structure of ZnCuTc, as listed in Alexandria via LeMat-Bulk.

Structure (CIF):
```
data_ZnCuTc
_space_group_name_H-M_alt 'C 1 2/m 1'
_space_group_IT_number 12
_cell_length_a 8.759
_cell_length_b 3.105
_cell_length_c 6.391
_cell_angle_alpha 90.00
_cell_angle_beta 110.00
_cell_angle_gamma 90.00
loop_
_space_group_symop_operation_xyz
'x,y,z'
'-x,-y,-z'
'-x,y,-z'
'x,-y,z'
'x+1/2,y+1/2,z'
'-x+1/2,-y+1/2,-z'
'-x+1/2,y+1/2,-z'
'x+1/2,-y+1/2,z'
loop_
_atom_site_label
_atom_site_fract_x
_atom_site_fract_y
_atom_site_fract_z
Zn1 0.173 0.000 0.095
Cu1 0.006 0.500 0.779
Tc1 0.158 0.000 0.559
```

formation energy	0.070	eV/atom
electronic total energy	-0.190	hartree per atom


- Look up the electronic total energy of the first one.
  -0.245 hartree per atom


- The lowest electronic total energy belongs to which entry?
  Zr3CuS6